A plane-wave DFT calculation with PBE was carried out for Ga2Sn5Pd12 after structural relaxation.

Geometry as POSCAR:
```
Ga2Sn5Pd12
1.0
8.017 -2.837 0.000
8.017 2.837 0.000
-4.908 0.000 7.955
Ga Sn Pd
2 5 12
Direct
0.237 0.763 0.000
0.763 0.237 0.000
0.000 0.000 0.500
0.308 0.308 0.967
0.333 0.333 0.486
0.667 0.667 0.514
0.692 0.692 0.033
0.083 0.577 0.727
0.102 0.598 0.262
0.136 0.136 0.989
0.402 0.898 0.738
0.423 0.917 0.273
0.495 0.495 0.219
0.505 0.505 0.781
0.577 0.083 0.727
0.598 0.102 0.262
0.864 0.864 0.011
0.898 0.402 0.738
0.917 0.423 0.273
```

Values from the calculation:
E_tot (eV/atom): -5.04
Energy relative to the elements (kJ/mol of atoms): -37
M_tot (μB per cell): 0.000
Density of states at the Fermi level (states/eV per cell): 7.7